The following is a PBE-GGA calculation of a relaxed Ta4Nb2Si3N3 crystal, from OQMD. Values from VASP.

Structure (Quantum ESPRESSO input):
```
&SYSTEM
  ibrav = 0, nat = 24, ntyp = 4
/
ATOMIC_SPECIES
N 14.01 N.upf
Nb 92.91 Nb.upf
Si 28.09 Si.upf
Ta 180.95 Ta.upf
ATOMIC_POSITIONS crystal
N 0.500 0.000 0.000
N 0.178 0.662 0.000
N 0.338 0.822 0.500
N 0.000 0.500 0.500
N 0.662 0.178 0.500
N 0.822 0.338 0.000
Nb 0.537 0.370 0.110
Nb 0.630 0.463 0.390
Nb 0.370 0.537 0.610
Nb 0.463 0.630 0.890
Si 0.584 0.773 0.249
Si 0.944 0.056 0.250
Si 0.227 0.416 0.251
Si 0.773 0.584 0.749
Si 0.056 0.944 0.750
Si 0.416 0.227 0.751
Ta 0.861 0.694 0.090
Ta 0.200 0.025 0.090
Ta 0.975 0.800 0.410
Ta 0.306 0.139 0.410
Ta 0.694 0.861 0.590
Ta 0.025 0.200 0.590
Ta 0.800 0.975 0.910
Ta 0.139 0.306 0.910
CELL_PARAMETERS angstrom
0.535 1.354 -5.294
-3.795 -1.540 -3.657
-5.248 10.746 5.119
```

- Final energy: -0.7116 Ry/atom
- Volume: 13.66 Å³ per atom
- Calculated density: 10.496 Mg/m³
- Symmetry: No. 15